[1]
! BaVTc2 (PBE, relaxed); values from VASP
! Formation energy: 4.3 eV per formula unit
! ΔE to the lowest computed polymorph: 0.1098 eV/atom
! DOS(E_F): 0.879 states/eV/atom
! Total magnetic moment: 0.05 μB per atom
! E_tot: -6.864 eV per atom
! Crystal system: cubic
&SYSTEM
  ibrav = 0, nat = 4, ntyp = 3
/
ATOMIC_SPECIES
Tc 98.00 Tc.upf
V 50.94 V.upf
Ba 137.33 Ba.upf
CELL_PARAMETERS angstrom
0.000 3.321 3.321
3.321 0.000 3.321
3.321 3.321 0.000
ATOMIC_POSITIONS crystal
Tc 0.750 0.750 0.750
V 0.000 0.000 0.000
Tc 0.250 0.250 0.250
Ba 0.500 0.500 0.500

[2]
! Sr2TaTl (PBE, relaxed); values from VASP
! Formation energy: 2.6 eV per formula unit
! ΔE to the lowest computed polymorph: 0.1183 eV/atom
! DOS(E_F): 0.761 states/eV/atom
! Total magnetic moment: 0.00 μB per atom
! E_tot: -3.749 eV per atom
! Crystal system: trigonal
&SYSTEM
  ibrav = 0, nat = 4, ntyp = 3
/
ATOMIC_SPECIES
Sr 87.62 Sr.upf
Ta 180.95 Ta.upf
Tl 204.38 Tl.upf
CELL_PARAMETERS angstrom
-10.103 2.785 5.052
-10.647 -0.683 4.640
-8.902 0.507 7.473
ATOMIC_POSITIONS crystal
Sr 0.012 0.012 0.012
Sr 0.236 0.236 0.236
Ta 0.493 0.493 0.493
Tl 0.759 0.759 0.759

[3]
! GdHg2F4 (PBE, relaxed); values from VASP
! DOS(E_F): 0.137 states/eV/atom
! Total magnetic moment: 1.00 μB per atom
! Raw formation energy: -245.3 kJ/mol of atoms
! E_tot: -5.710 eV per atom
! Crystal system: tetragonal
&SYSTEM
  ibrav = 0, nat = 7, ntyp = 3
/
ATOMIC_SPECIES
Hg 200.59 Hg.upf
Gd 157.25 Gd.upf
F 19.00 F.upf
CELL_PARAMETERS angstrom
4.408 0.000 0.000
0.000 4.408 0.000
2.204 2.204 9.649
ATOMIC_POSITIONS crystal
Hg 0.235 0.235 0.529
Gd 0.000 0.000 0.000
F 0.116 0.116 0.769
F 0.000 0.500 0.000
F 0.884 0.884 0.231
F 0.500 0.000 0.000
Hg 0.765 0.765 0.471

[4]
! CeSm5Tm4 (PBE, relaxed); values from VASP
! Formation energy: 1.1 eV per formula unit
! DOS(E_F): 1.780 states/eV/atom
! Total magnetic moment: 0.05 μB per atom
! E_tot: -4.634 eV per atom
! Crystal system: monoclinic
&SYSTEM
  ibrav = 0, nat = 10, ntyp = 3
/
ATOMIC_SPECIES
Tm 168.93 Tm.upf
Sm 150.36 Sm.upf
Ce 140.12 Ce.upf
CELL_PARAMETERS angstrom
-0.969 -1.519 -2.979
7.982 -7.331 1.144
-2.930 -6.034 6.065
ATOMIC_POSITIONS crystal
Tm 0.304 0.081 0.608
Sm 0.104 0.717 0.209
Tm 0.094 0.187 0.189
Sm 0.794 0.601 0.588
Ce 0.500 0.000 0.000
Sm 0.896 0.283 0.791
Sm 0.500 0.500 0.000
Sm 0.206 0.399 0.412
Tm 0.906 0.813 0.811
Tm 0.696 0.919 0.392

[5]
! NaLi2SnAu4 (PBE, relaxed); values from VASP
! Formation energy: -2.8 eV per formula unit
! DOS(E_F): 0.249 states/eV/atom
! Total magnetic moment: 0.00 μB per atom
! E_tot: -3.135 eV per atom
! Crystal system: trigonal
&SYSTEM
  ibrav = 0, nat = 8, ntyp = 4
/
ATOMIC_SPECIES
Au 196.97 Au.upf
Na 22.99 Na.upf
Li 6.94 Li.upf
Sn 118.71 Sn.upf
CELL_PARAMETERS angstrom
4.693 0.000 0.000
2.347 4.064 0.000
2.347 1.355 7.739
ATOMIC_POSITIONS crystal
Au 0.126 0.126 0.622
Au 0.377 0.377 0.869
Au 0.874 0.874 0.378
Na 0.000 0.000 0.000
Li 0.252 0.252 0.245
Li 0.748 0.748 0.755
Sn 0.500 0.500 0.500
Au 0.623 0.623 0.131

[6]
! ZrTlIr2 (PBE, relaxed); values from VASP
! Formation energy: 0.9 eV per formula unit
! DOS(E_F): 0.926 states/eV/atom
! Total magnetic moment: 0.00 μB per atom
! E_tot: -6.935 eV per atom
! Crystal system: tetragonal
&SYSTEM
  ibrav = 0, nat = 8, ntyp = 3
/
ATOMIC_SPECIES
Tl 204.38 Tl.upf
Ir 192.22 Ir.upf
Zr 91.22 Zr.upf
CELL_PARAMETERS angstrom
7.402 0.000 0.000
0.000 7.402 0.000
3.701 3.701 2.952
ATOMIC_POSITIONS crystal
Tl 0.000 0.000 0.000
Tl 0.750 0.250 0.500
Ir 0.603 0.125 0.250
Ir 0.147 0.625 0.250
Ir 0.375 0.397 0.750
Ir 0.875 0.853 0.750
Zr 0.250 0.750 0.500
Zr 0.500 0.500 0.000

[7]
! Pr2NdBi (PBE, relaxed); values from VASP
! Formation energy: -1.0 eV per formula unit
! ΔE to the lowest computed polymorph: 0.2035 eV/atom
! DOS(E_F): 1.099 states/eV/atom
! Total magnetic moment: 0.00 μB per atom
! E_tot: -4.796 eV per atom
! Crystal system: cubic
&SYSTEM
  ibrav = 0, nat = 4, ntyp = 3
/
ATOMIC_SPECIES
Pr 140.91 Pr.upf
Bi 208.98 Bi.upf
Nd 144.24 Nd.upf
CELL_PARAMETERS angstrom
-4.921 -0.737 2.740
-2.668 -5.008 -0.251
-0.221 -3.333 4.595
ATOMIC_POSITIONS crystal
Pr 0.250 0.250 0.250
Pr 0.750 0.750 0.750
Bi 0.500 0.500 0.500
Nd 0.000 0.000 0.000